This record from the Alexandria database describes a relaxed K3HfHg crystal. The functional is PBE.

Cell lengths 6.8833, 6.8833, 6.8833 Å; angles 90.00, 90.00, 90.00 degrees
Closest atoms and distances in Å follow each position.
Fractional coordinates of all 5 atoms:
K 0.0000 0.5000 0.0000  2 Hf 3.44
K 0.0000 0.0000 0.5000  2 Hf 3.44
K 0.5000 0.0000 0.0000  2 Hf 3.44
Hg 0.5000 0.5000 0.5000  12 K 4.87
Hf 0.0000 0.0000 0.0000  6 K 3.44

Calculated values
- Magnetic moment: 5.0 Bohr magnetons per cell
- DFT formation energy: 105 kJ/mol of atoms
- Energy above the most stable polymorph in this dataset: 0.098 eV/atom
- V: 65.2 Å³ per atom
- Space-group type: Pm-3m (221)



This record from the Alexandria database describes a relaxed KHfNb2Hg crystal. The functional is PBE.

Cell lengths 5.0267, 5.7667, 5.0267 Å; angles 90.00, 90.00, 90.00 degrees
Closest atoms and distances in Å follow each position.
Fractional coordinates of all 5 atoms:
Hg 0.0000 0.5000 0.0000  2 Hf 2.88
K 0.5000 0.5000 0.5000  4 Hg 3.55, 8 Nb 3.83
Nb 0.5000 0.0000 0.0000  2 Hf 2.51
Nb 0.0000 0.0000 0.5000  2 Hf 2.51
Hf 0.0000 0.0000 0.0000  4 Nb 2.51

Calculated values
- Magnetic moment: 0.0 Bohr magnetons per cell
- DFT formation energy: 120 kJ/mol of atoms
- V: 29.1 Å³ per atom
- Space-group type: P4/mmm (123)